Material: Cs2FeHF5
Method: DFT, PBE+U
State: relaxed

Summary:
Volume (Å³/cell): 388.1
Total DFT energy (no corrections) (hartree per atom): -0.16009
DOS(E_F) (states/eV/f.u.): 0.0

Geometry as POSCAR:
```
Cs2FeHF5
1.0
4.868 -4.328 0.000
4.868 4.328 0.000
0.000 0.000 9.210
Cs Fe H F
4 2 2 10
Direct
0.236 0.236 0.000 Cs
0.236 0.236 0.500 Cs
0.764 0.764 0.000 Cs
0.764 0.764 0.500 Cs
0.243 0.757 0.750 Fe
0.757 0.243 0.250 Fe
0.375 0.625 0.250 H
0.625 0.375 0.750 H
0.025 0.975 0.750 F
0.065 0.539 0.750 F
0.310 0.690 0.553 F
0.310 0.690 0.947 F
0.461 0.935 0.750 F
0.539 0.065 0.250 F
0.690 0.310 0.053 F
0.690 0.310 0.447 F
0.935 0.461 0.250 F
0.975 0.025 0.250 F
```